# ScTaHg

A relaxed ScTaHg crystal (PBEsol, Alexandria).

Output
DOS at the Fermi energy (states/eV per atom): 1.36
Theoretical density (g/cm3): 11.83
Calculated formation energy (meV/atom): 214

```
data_ScTaHg
_cell_length_a 4.7930
_cell_length_b 4.7930
_cell_length_c 3.0080
_cell_angle_alpha 90.00
_cell_angle_beta 90.00
_cell_angle_gamma 120.00
_symmetry_space_group_name_H-M 'P -6 m 2'
_symmetry_Int_Tables_number 187
_symmetry_space_group_name_Hall 'P -6 2'
loop_
_atom_site_label
_atom_site_fract_x
_atom_site_fract_y
_atom_site_fract_z
Sc1 0.0000 0.0000 0.0000
Ta1 0.6667 0.3333 0.5000
Hg1 0.3333 0.6667 0.5000
```